# 1
Li2InAs: optimized geometry, PBE.

Space group ... No. 122
Total energy ... -3.01 eV/atom
DOS(E_F) ... 2.04 states/eV/f.u.
Magnetization ... 0.00 μB/cell

abc: 4.233 4.233 9.615
angles: 77.28 77.28 90.00
Fractional coordinates of all 8 atoms:
As 0.500 0.500 0.000
As 0.250 0.750 0.500
Li 0.578 0.125 0.250
Li 0.172 0.625 0.250
Li 0.375 0.422 0.750
Li 0.875 0.828 0.750
In 0.000 0.000 0.000
In 0.750 0.250 0.500

# 2
LiScTiTl: optimized geometry, PBE.

Space group ... No. 216
Total energy ... -4.60 eV/atom
DOS(E_F) ... 2.99 states/eV/f.u.
Magnetization ... 1.50 μB/cell

abc: 4.846 4.846 4.846
angles: 60.00 60.00 60.00
Fractional coordinates of all 4 atoms:
Sc 0.500 0.500 0.500
Tl 0.750 0.750 0.750
Li 0.250 0.250 0.250
Ti 0.000 0.000 0.000

Sequential ΔE_f output: -4.71; 0.70 kcal/mol of atoms